Compound: PaCu2RuO8
Source: Alexandria via LeMat-Bulk
Functional: GGA-PBE
Structure: optimized geometry

Cell lengths 5.7513, 5.7513, 5.7513 Å; angles 109.42, 109.42, 109.57 degrees
With the nearest neighbours (Å) after each atom.
Fractional coordinates of all 12 atoms:
Pa1 0.0000 0.0000 0.0000  8 O 2.21-2.36
Cu1 0.5000 0.5000 0.0000  4 O 1.88
Cu2 0.7500 0.2500 0.5000  4 O 1.90
Ru1 0.2500 0.7500 0.5000  8 O 2.04-2.10
O1 0.2957 0.0991 0.8034  1 Cu 1.88, 1 Ru 2.04
O2 0.2957 0.4923 0.1966  1 Cu 1.88, 1 Ru 2.04
O3 0.3506 0.0184 0.3322  1 Cu 1.90, 1 Ru 2.10
O4 0.5077 0.7043 0.8034  1 Cu 1.88, 1 Ru 2.04
O5 0.6862 0.0184 0.6678  1 Cu 1.90, 1 Ru 2.10
O6 0.9009 0.7043 0.1966  1 Cu 1.88, 1 Ru 2.04
O7 0.9816 0.3137 0.3322  1 Cu 1.90, 1 Ru 2.10
O8 0.9816 0.6494 0.6678  1 Cu 1.90, 1 Ru 2.10

Output
The uncorrected formation energy is -1.1817 eV per atom. The calculation puts the volume at 146.4 Å³ per cell.

---

Compound: Pa3CuS2O6
Source: Alexandria via LeMat-Bulk
Functional: GGA-PBE
Structure: optimized geometry

Cell lengths 6.9294, 6.9294, 6.0386 Å; angles 103.12, 103.12, 66.84 degrees
With the nearest neighbours (Å) after each atom.
Fractional coordinates of all 12 atoms:
Pa1 0.0000 0.0000 0.0000  4 O 2.13
Pa2 0.0000 0.5000 0.5000  4 O 2.08-2.23
Pa3 0.5000 0.0000 0.5000  4 O 2.08-2.23
Cu1 0.5000 0.5000 0.5000  2 O 1.83
S1 0.1689 0.1689 0.7514  3 Pa 2.76-2.77, 1 O 3.06
S2 0.8311 0.8311 0.2486  3 Pa 2.76-2.77, 1 O 3.06
O1 0.0910 0.7021 0.7793  2 Pa 2.08-2.13
O2 0.2979 0.9090 0.2207  2 Pa 2.08-2.13
O3 0.3356 0.3356 0.4360  1 Cu 1.83
O4 0.6644 0.6644 0.5640  1 Cu 1.83
O5 0.7021 0.0910 0.7793  2 Pa 2.08-2.13
O6 0.9090 0.2979 0.2207  2 Pa 2.08-2.13

Output
The uncorrected formation energy is -2.6815 eV per atom. The calculation puts the volume at 256.5 Å³ per cell.

---

Compound: PaCuS2O8
Source: Alexandria via LeMat-Bulk
Functional: GGA-PBE
Structure: optimized geometry

Cell lengths 7.8186, 7.8186, 7.8186 Å; angles 43.20, 43.20, 43.20 degrees
With the nearest neighbours (Å) after each atom.
Fractional coordinates of all 12 atoms:
Pa1 0.0000 0.0000 0.0000  6 O 2.27
Cu1 0.5000 0.5000 0.5000  18 O 3.34-3.72
S1 0.2496 0.2496 0.2496  4 O 1.43-1.51
S2 0.7504 0.7504 0.7504  4 O 1.43-1.51
O1 0.1374 0.1374 0.5563  1 S 1.51
O2 0.1374 0.5563 0.1374  1 S 1.51
O3 0.1822 0.1822 0.1822  1 S 1.43
O4 0.4437 0.8626 0.8626  1 S 1.51
O5 0.5563 0.1374 0.1374  1 S 1.51
O6 0.8178 0.8178 0.8178  1 S 1.43
O7 0.8626 0.4437 0.8626  1 S 1.51
O8 0.8626 0.8626 0.4437  1 S 1.51

Output
The uncorrected formation energy is -1.4580 eV per atom. The calculation puts the volume at 203.1 Å³ per cell.

---

Compound: Pa2CuSbO8
Source: Alexandria via LeMat-Bulk
Functional: GGA-PBE
Structure: optimized geometry

Cell lengths 6.6571, 6.6571, 6.6571 Å; angles 132.82, 132.82, 68.94 degrees
With the nearest neighbours (Å) after each atom.
Fractional coordinates of all 12 atoms:
Pa1 0.0000 0.0000 0.0000  8 O 2.26-2.36
Pa2 0.7500 0.2500 0.5000  8 O 2.22-2.42
Cu1 0.2500 0.7500 0.5000  4 O 2.17
Sb1 0.5000 0.5000 0.0000  4 O 1.93
O1 0.0520 0.0445 0.4023  1 Cu 2.17, 2 Pa 2.22-2.26
O2 0.1612 0.5952 0.9373  1 Sb 1.93
O3 0.3503 0.9480 0.9926  1 Cu 2.17, 2 Pa 2.22-2.26
O4 0.4048 0.3421 0.5660  1 Sb 1.93
O5 0.6423 0.6497 0.5977  1 Cu 2.17, 2 Pa 2.22-2.26
O6 0.6579 0.2239 0.0627  1 Sb 1.93
O7 0.7761 0.8388 0.4340  1 Sb 1.93
O8 0.9555 0.3577 0.0074  1 Cu 2.17, 2 Pa 2.22-2.26

Output
The uncorrected formation energy is -2.4149 eV per atom. The calculation puts the volume at 155.8 Å³ per cell.

---

Compound: PaCuSbO5
Source: Alexandria via LeMat-Bulk
Functional: GGA-PBE
Structure: optimized geometry

Cell lengths 6.1272, 6.1272, 7.7189 Å; angles 101.69, 101.69, 111.24 degrees
With the nearest neighbours (Å) after each atom.
Fractional coordinates of all 16 atoms:
Pa1 0.0000 0.0000 0.0000  6 O 2.14-2.30
Pa2 0.0000 0.0000 0.5000  6 O 2.14-2.30
Cu1 0.2966 0.7034 0.7500  4 O 1.90-2.08
Cu2 0.7034 0.2966 0.2500  4 O 1.90-2.08
Sb1 0.3917 0.6083 0.2500  2 O 2.06
Sb2 0.6083 0.3917 0.7500  2 O 2.06
O1 0.0215 0.6817 0.8340  1 Cu 1.90
O2 0.0918 0.9082 0.2500  2 Pa 2.14
O3 0.3005 0.3925 0.5843  1 Sb 2.06, 1 Cu 2.08, 1 Pa 2.30
O4 0.3183 0.9785 0.6660  1 Cu 1.90
O5 0.3925 0.3005 0.0843  1 Sb 2.06, 1 Cu 2.08, 1 Pa 2.30
O6 0.6075 0.6995 0.9157  1 Sb 2.06, 1 Cu 2.08, 1 Pa 2.30
O7 0.6817 0.0215 0.3340  1 Cu 1.90
O8 0.6995 0.6075 0.4157  1 Sb 2.06, 1 Cu 2.08, 1 Pa 2.30
O9 0.9082 0.0918 0.7500  2 Pa 2.14
O10 0.9785 0.3183 0.1660  1 Cu 1.90

Output
The uncorrected formation energy is -1.9086 eV per atom. The calculation puts the volume at 252.1 Å³ per cell.

---

Compound: PaCu2SbO8
Source: Alexandria via LeMat-Bulk
Functional: GGA-PBE
Structure: optimized geometry

Cell lengths 5.8187, 5.8187, 5.8187 Å; angles 109.48, 109.48, 109.46 degrees
With the nearest neighbours (Å) after each atom.
Fractional coordinates of all 12 atoms:
Pa1 0.0000 0.0000 0.0000  8 O 2.18-2.38
Cu1 0.2500 0.7500 0.5000  4 O 1.87
Cu2 0.5000 0.5000 0.0000  4 O 1.89
Sb1 0.7500 0.2500 0.5000  8 O 2.08-2.25
O1 0.0353 0.3585 0.3233  1 Cu 1.87
O2 0.0353 0.7120 0.6767  1 Cu 1.87
O3 0.1020 0.2961 0.8059  1 Cu 1.89, 1 Sb 2.08
O4 0.2880 0.9647 0.3233  1 Cu 1.87
O5 0.4902 0.2961 0.1941  1 Cu 1.89, 1 Sb 2.08
O6 0.6415 0.9647 0.6767  1 Cu 1.87
O7 0.7039 0.5098 0.8059  1 Cu 1.89, 1 Sb 2.08
O8 0.7039 0.8980 0.1941  1 Cu 1.89, 1 Sb 2.08

Output
The uncorrected formation energy is -1.3862 eV per atom. The calculation puts the volume at 151.7 Å³ per cell.

---

Compound: PaCuSbO
Source: Alexandria via LeMat-Bulk
Functional: GGA-PBE
Structure: optimized geometry

Cell lengths 3.9882, 3.9882, 9.0715 Å; angles 90.00, 90.00, 90.00 degrees
With the nearest neighbours (Å) after each atom.
Fractional coordinates of all 8 atoms:
Pa1 0.2500 0.2500 0.1423  4 O 2.38
Pa2 0.7500 0.7500 0.8577  4 O 2.38
Cu1 0.2500 0.7500 0.5000  4 Sb 2.63, 4 Cu 2.82
Cu2 0.7500 0.2500 0.5000  4 Sb 2.63, 4 Cu 2.82
Sb1 0.2500 0.2500 0.6887  4 Cu 2.63
Sb2 0.7500 0.7500 0.3113  4 Cu 2.63
O1 0.2500 0.7500 0.0000  4 Pa 2.38
O2 0.7500 0.2500 0.0000  4 Pa 2.38

Output
The uncorrected formation energy is -1.4866 eV per atom. The calculation puts the volume at 144.3 Å³ per cell.

---

Compound: ScPaCuO6
Source: Alexandria via LeMat-Bulk
Functional: GGA-PBE
Structure: optimized geometry

Cell lengths 5.1436, 5.1436, 4.8566 Å; angles 90.00, 90.00, 120.00 degrees
With the nearest neighbours (Å) after each atom.
Fractional coordinates of all 9 atoms:
Sc1 0.0000 0.0000 0.0000  6 O 2.10
Pa1 0.6667 0.3333 0.5000  6 O 2.18
Cu1 0.3333 0.6667 0.0000  6 O 1.98
O1 0.0165 0.3522 0.2327  1 Cu 1.98, 1 Sc 2.10, 1 Pa 2.18
O2 0.0165 0.6642 0.7673  1 Cu 1.98, 1 Sc 2.10, 1 Pa 2.18
O3 0.3358 0.3522 0.7673  1 Cu 1.98, 1 Sc 2.10, 1 Pa 2.18
O4 0.3358 0.9835 0.2327  1 Cu 1.98, 1 Sc 2.10, 1 Pa 2.18
O5 0.6478 0.6642 0.2327  1 Cu 1.98, 1 Sc 2.10, 1 Pa 2.18
O6 0.6478 0.9835 0.7673  1 Cu 1.98, 1 Sc 2.10, 1 Pa 2.18

Output
The uncorrected formation energy is -2.3328 eV per atom. The calculation puts the volume at 111.3 Å³ per cell.

---

Compound: ScPaCu2O6
Source: Alexandria via LeMat-Bulk
Functional: GGA-PBE
Structure: optimized geometry

Cell lengths 5.9768, 5.9768, 5.9768 Å; angles 53.62, 53.62, 53.62 degrees
With the nearest neighbours (Å) after each atom.
Fractional coordinates of all 10 atoms:
Sc1 0.0000 0.0000 0.0000  6 O 2.14
Pa1 0.5000 0.5000 0.5000  6 O 2.19
Cu1 0.2563 0.2563 0.2563  3 O 1.90
Cu2 0.7437 0.7437 0.7437  3 O 1.90
O1 0.0978 0.7523 0.3949  1 Cu 1.90
O2 0.2477 0.6051 0.9022  1 Cu 1.90
O3 0.3949 0.0978 0.7523  1 Cu 1.90
O4 0.6051 0.9022 0.2477  1 Cu 1.90
O5 0.7523 0.3949 0.0978  1 Cu 1.90
O6 0.9022 0.2477 0.6051  1 Cu 1.90

Output
The uncorrected formation energy is -2.2250 eV per atom. The calculation puts the volume at 128.4 Å³ per cell.

---

Compound: ScPaCu2O8
Source: Alexandria via LeMat-Bulk
Functional: GGA-PBE
Structure: optimized geometry

Cell lengths 5.8651, 5.8651, 5.8651 Å; angles 107.50, 107.50, 113.50 degrees
With the nearest neighbours (Å) after each atom.
Fractional coordinates of all 12 atoms:
Sc1 0.0000 0.0000 0.0000  8 O 2.21-2.23
Pa1 0.7500 0.2500 0.5000  8 O 2.25-2.27
Cu1 0.2500 0.7500 0.5000  4 O 1.85
Cu2 0.5000 0.5000 0.0000  4 O 1.83
O1 0.0425 0.3583 0.3158  1 Cu 1.85
O2 0.0425 0.7267 0.6842  1 Cu 1.85
O3 0.1113 0.2884 0.8229  1 Cu 1.83
O4 0.2733 0.9575 0.3158  1 Cu 1.85
O5 0.4656 0.2884 0.1771  1 Cu 1.83
O6 0.6417 0.9575 0.6842  1 Cu 1.85
O7 0.7116 0.5344 0.8229  1 Cu 1.83
O8 0.7116 0.8887 0.1771  1 Cu 1.83

Output
The uncorrected formation energy is -1.6729 eV per atom. The calculation puts the volume at 154.7 Å³ per cell.

---

> Which value of uncorrected formation energy does entry 7 give?

-1.4866 eV per atom